No. 1
{"formula": "SiSbRuI2", "functional": "PBE-GGA", "state": "optimized geometry", "lattice": [[5.459, 0.000, 0.000], [0.000, 5.459, 0.000], [0.000, 0.000, 5.015]], "species": ["Si", "Sb", "Ru", "I", "I"], "frac_coords": [[0.000, 0.000, 0.000], [0.500, 0.500, 0.000], [0.500, 0.500, 0.500], [0.000, 0.500, 0.500], [0.500, 0.000, 0.500]], "crystal_system": "tetragonal", "sg": "P4/mmm", "m_tot_mub_per_cell": 0.8, "raw_formation_energy_mev_per_atom": 830, "dos_ef_per_ev_fu": 4.597}

No. 2
{"formula": "MgSe2IBr", "functional": "PBE-GGA", "state": "optimized geometry", "lattice": [[5.281, 0.000, 0.000], [0.000, 5.281, 0.000], [0.000, 0.000, 4.971]], "species": ["Mg", "Se", "Se", "I", "Br"], "frac_coords": [[0.000, 0.000, 0.000], [0.000, 0.500, 0.000], [0.500, 0.000, 0.000], [0.500, 0.500, 0.500], [0.000, 0.000, 0.500]], "crystal_system": "tetragonal", "sg": "P4/mmm", "m_tot_mub_per_cell": 0.0, "raw_formation_energy_mev_per_atom": -39, "dos_ef_per_ev_fu": 4.031}

No. 3
{"formula": "MgRhW", "functional": "PBE-GGA", "state": "optimized geometry", "lattice": [[6.019, 0.000, 0.000], [0.000, 6.019, 0.000], [0.000, 0.000, 6.019]], "species": ["Mg", "Mg", "Mg", "Mg", "Rh", "Rh", "Rh", "Rh", "W", "W", "W", "W"], "frac_coords": [[0.000, 0.000, 0.000], [0.000, 0.500, 0.500], [0.500, 0.000, 0.500], [0.500, 0.500, 0.000], [0.250, 0.250, 0.750], [0.250, 0.750, 0.250], [0.750, 0.250, 0.250], [0.750, 0.750, 0.750], [0.000, 0.000, 0.500], [0.000, 0.500, 0.000], [0.500, 0.000, 0.000], [0.500, 0.500, 0.500]], "formation_energy_ev_per_atom": 0.32, "crystal_system": "cubic", "sg": "F-43m", "m_tot_mub_per_cell": 0.0, "dos_ef_per_ev_fu": 4.164}

No. 4
{"formula": "Ho3GaRh3", "functional": "PBE-GGA", "state": "optimized geometry", "lattice": [[2.048, -5.148, 0.000], [2.048, 5.148, 0.000], [0.000, 0.000, 13.525]], "species": ["Ho", "Ho", "Ho", "Ho", "Ho", "Ho", "Ga", "Ga", "Rh", "Rh", "Rh", "Rh", "Rh", "Rh"], "frac_coords": [[0.024, 0.976, 0.750], [0.301, 0.699, 0.606], [0.301, 0.699, 0.894], [0.699, 0.301, 0.106], [0.699, 0.301, 0.394], [0.976, 0.024, 0.250], [0.000, 0.000, 0.000], [0.000, 0.000, 0.500], [0.250, 0.750, 0.250], [0.413, 0.587, 0.089], [0.413, 0.587, 0.411], [0.587, 0.413, 0.589], [0.587, 0.413, 0.911], [0.750, 0.250, 0.750]], "formation_energy_ev_per_atom": -0.88, "crystal_system": "orthorhombic", "sg": "Cmcm", "m_tot_mub_per_cell": 0.0, "dos_ef_per_ev_fu": 3.654}

No. 5
{"formula": "PmDy3Tm2S6", "functional": "PBE-GGA", "state": "optimized geometry", "lattice": [[3.378, -5.874, 0.000], [3.378, 5.874, 0.000], [-2.258, 0.000, 6.369]], "species": ["Pm", "Dy", "Dy", "Dy", "Tm", "Tm", "S", "S", "S", "S", "S", "S"], "frac_coords": [[0.000, 0.000, 0.000], [0.161, 0.839, 0.500], [0.500, 0.500, 0.500], [0.839, 0.161, 0.500], [0.334, 0.666, 0.000], [0.666, 0.334, 0.000], [0.083, 0.428, 0.251], [0.262, 0.262, 0.753], [0.428, 0.083, 0.251], [0.572, 0.917, 0.749], [0.738, 0.738, 0.247], [0.917, 0.572, 0.749]], "crystal_system": "monoclinic", "sg": "C2/m", "m_tot_mub_per_cell": 0.0, "raw_formation_energy_mev_per_atom": -1980, "dos_ef_per_ev_fu": 4.689}

No. 6
{"formula": "CaScTl6", "functional": "PBE-GGA", "state": "optimized geometry", "lattice": [[4.759, 0.000, 0.000], [0.000, 4.759, 0.000], [0.000, 0.000, 9.552]], "species": ["Ca", "Sc", "Tl", "Tl", "Tl", "Tl", "Tl", "Tl"], "frac_coords": [[0.000, 0.000, 0.000], [0.000, 0.000, 0.500], [0.000, 0.500, 0.259], [0.000, 0.500, 0.741], [0.500, 0.000, 0.259], [0.500, 0.000, 0.741], [0.500, 0.500, 0.000], [0.500, 0.500, 0.500]], "formation_energy_ev_per_atom": -0.16, "crystal_system": "tetragonal", "sg": "P4/mmm", "m_tot_mub_per_cell": 0.0, "dos_ef_per_ev_fu": 4.068}

No. 7
{"formula": "LaSc2SiSn", "functional": "PBE-GGA", "state": "optimized geometry", "lattice": [[5.054, 0.000, 0.000], [0.000, 5.054, 0.000], [0.000, 0.000, 5.589]], "species": ["La", "Sc", "Sc", "Si", "Sn"], "frac_coords": [[0.000, 0.000, 0.000], [0.000, 0.500, 0.500], [0.500, 0.000, 0.500], [0.000, 0.000, 0.500], [0.500, 0.500, 0.000]], "crystal_system": "tetragonal", "sg": "P4/mmm", "m_tot_mub_per_cell": 0.0, "raw_formation_energy_mev_per_atom": -374, "dos_ef_per_ev_fu": 3.190}

No. 8
{"formula": "Co2Pb", "functional": "PBE-GGA", "state": "optimized geometry", "lattice": [[3.851, 0.000, 0.000], [0.000, 3.851, 0.000], [0.000, 0.000, 13.698]], "species": ["Co", "Co", "Co", "Co", "Co", "Co", "Co", "Co", "Pb", "Pb", "Pb", "Pb"], "frac_coords": [[0.000, 0.250, 0.292], [0.000, 0.250, 0.458], [0.000, 0.750, 0.542], [0.000, 0.750, 0.708], [0.500, 0.250, 0.042], [0.500, 0.250, 0.208], [0.500, 0.750, 0.792], [0.500, 0.750, 0.958], [0.000, 0.250, 0.875], [0.000, 0.750, 0.125], [0.500, 0.250, 0.625], [0.500, 0.750, 0.375]], "formation_energy_ev_per_atom": 0.53, "crystal_system": "tetragonal", "sg": "I4_1/amd", "m_tot_mub_per_cell": 11.0, "dos_ef_per_ev_fu": 3.514}